Density functional theory data (PBE) for a geometry-optimized USnHgO6 structure.

Computed properties:
The value obtained for the final energy is -6.878 eV/atom. For the spin magnetization, the calculation gives 0.00 μB/atom.

Unit cell a=5.597 b=5.597 c=9.872 alpha=90.00 beta=90.00 gamma=120.00
Atoms (fractional coordinates):
1 Hg 0.000 0.000 0.500
2 O 0.001 0.360 0.139
3 Hg 0.000 0.000 0.000
4 U 0.333 0.667 0.750
5 O 0.640 0.999 0.361
6 O 0.640 0.640 0.639
7 O 0.999 0.640 0.861
8 O 0.999 0.360 0.639
9 O 0.640 0.001 0.861
10 Sn 0.667 0.333 0.750
11 Sn 0.333 0.667 0.250
12 O 0.360 0.999 0.139
13 O 0.360 0.360 0.361
14 O 0.360 0.360 0.861
15 O 0.640 0.640 0.139
16 O 0.360 0.001 0.639
17 U 0.667 0.333 0.250
18 O 0.001 0.640 0.361

=====

Density functional theory data (PBE) for a geometry-optimized SrCaPrGd structure.

Computed properties:
The calculation puts the energy of formation from the pure elements at 0.161 eV/atom. For the spin magnetization, the calculation gives 1.81 μB/atom.

Unit cell a=6.070 b=6.070 c=6.070 alpha=60.00 beta=60.00 gamma=60.00
Last column: magnetic moment on the atom in μB.
Atoms (fractional coordinates):
1 Pr 0.500 0.500 0.500  0.00
2 Sr 0.000 0.000 0.000  -0.01
3 Gd 0.750 0.750 0.750  7.10
4 Ca 0.250 0.250 0.250  -0.01

=====

Density functional theory data (PBE) for a geometry-optimized ScAsP2 structure.

Computed properties:
The calculation puts the energy of formation from the pure elements at -0.332 eV/atom. For the spin magnetization, the calculation gives 0.00 μB/atom.

Unit cell a=5.611 b=5.611 c=5.611 alpha=141.03 beta=141.03 gamma=56.29
Atoms (fractional coordinates):
1 Sc 0.500 0.500 0.000
2 P 0.000 0.000 0.000
3 As 0.750 0.250 0.500
4 P 0.250 0.750 0.500

=====

Density functional theory data (PBE) for a geometry-optimized Pm5Dy2Th2 structure.

Computed properties:
The calculation puts the energy of formation from the pure elements at 0.287 eV/atom. For the spin magnetization, the calculation gives 0.00 μB/atom.

Unit cell a=3.505 b=8.292 c=12.854 alpha=115.23 beta=97.84 gamma=90.00
Atoms (fractional coordinates):
1 Pm 0.302 0.178 0.605
2 Th 0.449 0.272 0.898
3 Pm 0.091 0.439 0.183
4 Pm 0.698 0.822 0.395
5 Dy 0.155 0.113 0.309
6 Dy 0.845 0.887 0.691
7 Pm 0.909 0.561 0.817
8 Th 0.551 0.728 0.102
9 Pm 0.000 0.000 0.000

=====

Density functional theory data (PBE) for a geometry-optimized TbMgPt structure.

Computed properties:
The calculation puts the energy of formation from the pure elements at -0.744 eV/atom. For the spin magnetization, the calculation gives 0.00 μB/atom.

Unit cell a=3.490 b=3.490 c=5.925 alpha=107.13 beta=107.13 gamma=90.00
Atoms (fractional coordinates):
1 Tb 0.594 0.594 0.188
2 Pt 0.944 0.944 0.889
3 Mg 0.311 0.311 0.623

=====

Density functional theory data (PBE) for a geometry-optimized Ho5TlRu structure.

Computed properties:
The calculation puts the energy of formation from the pure elements at -0.141 eV/atom. For the spin magnetization, the calculation gives 0.00 μB/atom.

Unit cell a=5.945 b=5.945 c=11.771 alpha=77.12 beta=77.12 gamma=77.44
Atoms (fractional coordinates):
1 Ho 0.996 0.004 0.250
2 Ho 0.917 0.586 0.123
3 Ho 0.793 0.453 0.437
4 Ho 0.453 0.793 0.937
5 Ho 0.083 0.414 0.877
6 Ho 0.547 0.207 0.063
7 Ho 0.004 0.996 0.750
8 Tl 0.405 0.595 0.250
9 Ru 0.000 0.000 0.000
10 Ho 0.207 0.547 0.563
11 Ho 0.586 0.917 0.623
12 Ru 0.000 0.000 0.500
13 Tl 0.595 0.405 0.750
14 Ho 0.414 0.083 0.377

=====

Density functional theory data (PBE) for a geometry-optimized KCrSn2 structure.

Computed properties:
The calculation puts the energy of formation from the pure elements at 0.345 eV/atom. The offset from the most stable computed form comes out at 0 meV per atom. For the spin magnetization, the calculation gives 1.03 μB/atom.

Unit cell a=5.232 b=5.232 c=5.232 alpha=60.00 beta=60.00 gamma=60.00
Last column: magnetic moment on the atom in μB.
Atoms (fractional coordinates):
1 Sn 0.250 0.250 0.250  -0.05
2 Sn 0.750 0.750 0.750  -0.05
3 Cr 0.500 0.500 0.500  3.76
4 K 0.000 0.000 0.000  -0.01

=====

Density functional theory data (PBE) for a geometry-optimized Mn2BeCu structure.

Computed properties:
The calculation puts the energy of formation from the pure elements at 0.083 eV/atom. For the spin magnetization, the calculation gives 0.67 μB/atom.

Unit cell a=2.496 b=2.496 c=6.757 alpha=90.00 beta=90.00 gamma=90.00
Last column: magnetic moment on the atom in μB.
Atoms (fractional coordinates):
1 Be 0.000 0.000 0.500  -0.03
2 Mn 0.500 0.500 0.272  1.01
3 Cu 0.500 0.500 0.722  0.04
4 Mn 0.000 0.000 0.006  1.60

=====

Density functional theory data (PBE) for a geometry-optimized MgCoSi2I structure.

Computed properties:
The value obtained for the final energy is -2.828 eV/atom. For the spin magnetization, the calculation gives 0.40 μB/atom.

Unit cell a=4.936 b=5.619 c=4.936 alpha=90.00 beta=90.00 gamma=90.00
Last column: magnetic moment on the atom in μB.
Atoms (fractional coordinates):
1 Co 0.500 0.500 0.500  2.13
2 Si 0.500 0.000 0.000  -0.03
3 Si 0.000 0.000 0.500  -0.04
4 I 0.000 0.500 0.000  0.00
5 Mg 0.000 0.000 0.000  0.00